Here is crystalline Cs2ReHBr6 at its relaxed geometry from Alexandria. Energies are from PBE.

Summary:
crystal system	tetragonal
DOS(E_F)	0.00	states/eV per atom
E	-3.47	eV/atom

Cell: 7.8127 7.8127 11.0680 Å, 90.00 90.00 90.00°
Space group I4/mmm (No. 139)
Symmetry-distinct sites (fractional):
Cs  0.0000  0.5000  0.2500
Re  0.0000  0.0000  0.0000
H  0.0000  0.0000  0.5000
Br  0.0000  0.0000  0.2299
Br  0.2303  0.2303  0.0000